Entry 1:
Below is PmAsN2O after structural relaxation, with properties calculated at the PBE level.

* M_tot: 0.0 μB per formula unit

Unit cell a=7.531 b=7.908 c=7.915 alpha=90.42 beta=90.42 gamma=90.45
Element x y z (fractional)
1 As 0.275 0.489 0.224
2 As 0.781 0.469 0.242
3 As 0.272 0.028 0.256
4 As 0.773 0.007 0.283
5 As 0.278 0.992 0.719
6 As 0.778 0.971 0.745
7 As 0.269 0.530 0.762
8 As 0.776 0.509 0.782
9 N 0.818 0.453 0.005
10 N 0.527 0.452 0.207
11 N 0.223 0.253 0.210
12 N 0.526 0.045 0.215
13 N 0.025 0.540 0.288
14 N 0.026 0.959 0.295
15 N 0.812 0.244 0.298
16 N 0.323 0.039 0.493
17 N 0.729 0.959 0.508
18 N 0.238 0.755 0.704
19 N 0.025 0.040 0.706
20 N 0.026 0.459 0.713
21 N 0.526 0.557 0.781
22 N 0.524 0.957 0.788
23 N 0.829 0.745 0.791
24 N 0.231 0.543 0.997
25 O 0.242 0.959 0.025
26 O 0.741 0.775 0.213
27 O 0.314 0.724 0.281
28 O 0.739 0.540 0.474
29 O 0.311 0.460 0.514
30 O 0.735 0.280 0.718
31 O 0.311 0.229 0.785
32 O 0.809 0.041 0.975
33 Pm 0.500 0.761 0.024
34 Pm 0.009 0.758 0.049
35 Pm 0.544 0.262 0.483
36 Pm 0.056 0.259 0.490
37 Pm 0.995 0.740 0.511
38 Pm 0.505 0.739 0.516
39 Pm 0.044 0.241 0.953
40 Pm 0.549 0.236 0.978

Entry 2:
Below is Tl4HgI6 after structural relaxation, with properties calculated at the PBE level.

Unit cell a=9.451 b=9.451 c=9.346 alpha=90.00 beta=90.00 gamma=90.00
Element x y z (fractional)
1 Hg 0.500 0.500 0.499
2 Hg 0.000 0.000 0.999
3 I 0.500 0.500 0.205
4 I 0.000 0.000 0.294
5 I 0.359 0.174 0.499
6 I 0.826 0.359 0.499
7 I 0.174 0.641 0.499
8 I 0.641 0.826 0.499
9 I 0.000 0.000 0.705
10 I 0.500 0.500 0.794
11 I 0.326 0.141 0.999
12 I 0.859 0.326 0.999
13 I 0.141 0.674 0.999
14 I 0.674 0.859 0.999
15 Tl 0.648 0.149 0.249
16 Tl 0.149 0.352 0.249
17 Tl 0.851 0.648 0.249
18 Tl 0.352 0.851 0.249
19 Tl 0.649 0.148 0.749
20 Tl 0.148 0.351 0.749
21 Tl 0.852 0.649 0.749
22 Tl 0.351 0.852 0.749

Entry 3:
Below is LiAl2Ni after structural relaxation, with properties calculated at the PBE level.

* M_tot: 0.0 μB per formula unit

Unit cell a=2.979 b=2.979 c=5.915 alpha=90.00 beta=90.00 gamma=90.00
Element x y z (fractional)
1 Al 0.500 0.500 0.269
2 Al 0.500 0.500 0.731
3 Li 0.000 0.000 0.000
4 Ni 0.000 0.000 0.500

Entry 4:
Below is SrMgCoBi after structural relaxation, with properties calculated at the PBE level.

* energy above the lowest structure with this stoichiometry: 0.0471 eV per atom
* M_tot: 0.2 μB per formula unit

Unit cell a=5.064 b=5.064 c=5.064 alpha=60.00 beta=60.00 gamma=60.00
Element x y z (fractional)
1 Bi 0.250 0.250 0.250
2 Co 0.000 0.000 0.000
3 Mg 0.750 0.750 0.750
4 Sr 0.500 0.500 0.500

no.,E (eV per cell)
1,-280.141
2,-49.943
3,-16.528
4,-13.545